DFT (GGA-PBE) results for a relaxed structure of Dy4YHo2.

Cell: 16.686 3.522 8.695 Å, 90.00 119.64 90.00°
Space group C2/m (No. 12)
Unique sites:
Dy 0.141 0.000 0.334 [4 per cell]
Dy 0.205 0.000 0.795 [4 per cell]
Y 0.000 0.500 0.500 [2 per cell]
Ho 0.070 0.500 0.930 [4 per cell]

Results
calculated volume = 31.721 Å³/atom
energy = -0.177 hartree per atom
ΔE_f = 0.038 eV/atom
total magnetic moment = 0.00 μB per cell



DFT (GGA-PBE) results for a relaxed structure of Dy2YHo2.

Cell: 9.276 9.276 3.698 Å, 90.00 90.00 90.00°
Space group P4/mbm (No. 127)
Unique sites:
Dy 0.127 0.373 0.000 [4 per cell]
Y 0.000 0.000 0.000 [2 per cell]
Ho 0.171 0.671 0.500 [4 per cell]

Results
calculated volume = 31.816 Å³/atom
energy = -0.180 hartree per atom
ΔE_f = 0.079 eV/atom
total magnetic moment = 0.00 μB per cell



DFT (GGA-PBE) results for a relaxed structure of Dy16Y6Ho7.

Cell: 15.664 15.664 15.664 Å, 90.00 90.00 90.00°
Space group Fm-3m (No. 225)
Unique sites:
Dy 0.122 0.122 0.122 [32 per cell]
Dy 0.153 0.153 0.347 [32 per cell]
Y 0.000 0.000 0.281 [24 per cell]
Ho 0.000 0.000 0.000 [4 per cell]
Ho 0.000 0.250 0.250 [24 per cell]

Results
calculated volume = 33.133 Å³/atom
energy = -0.175 hartree per atom
ΔE_f = 0.228 eV/atom
total magnetic moment = 0.21 μB per cell